# 1
Computed, not measured: a relaxed structure of Rb2CaIn2Cl6 at the GGA-PBE level of DFT.

The structure belongs to space group C2/m (No. 12); the cell edges are 11.288, 7.940 and 8.663 Å and the angles 90.00°, 108.79° and 90.00°. The asymmetric unit holds Rb at (0.197, 0.000, 0.116), Ca at (0.000, 0.000, 0.500), In at (0.105, 0.500, 0.197), Cl at (0.057, 0.230, 0.767) and Cl at (0.238, 0.000, 0.494).

---

# 2
Computed, not measured: a relaxed structure of Ca2InSbCl8 at the GGA-PBE level of DFT.

The structure belongs to space group P2/m (No. 10); the cell edges are 6.423, 8.696 and 6.666 Å and the angles 90.00°, 90.12° and 90.00°. The asymmetric unit holds Ca at (0.000, 0.247, 0.000), In at (0.500, 0.000, 0.500), Sb at (0.500, 0.500, 0.500), Cl at (0.219, 0.000, 0.866), Cl at (0.235, 0.500, 0.826) and Cl at (0.261, 0.287, 0.330).

---

# 3
Computed, not measured: a relaxed structure of Ca2ScInCl8 at the GGA-PBE level of DFT.

The structure belongs to space group P2/m (No. 10); the cell edges are 6.271, 8.625 and 6.511 Å and the angles 90.00°, 90.79° and 90.00°. The asymmetric unit holds Ca at (0.000, 0.249, 0.000), Sc at (0.500, 0.000, 0.500), In at (0.500, 0.500, 0.500), Cl at (0.221, 0.500, 0.868), Cl at (0.239, 0.000, 0.810) and Cl at (0.278, 0.204, 0.332).

---

# 4
Computed, not measured: a relaxed structure of CaInSn2Cl at the GGA-PBE level of DFT.

The structure belongs to space group P4/mmm (No. 123); the cell edges are 5.651, 5.651 and 5.447 Å and the angles 90.00°, 90.00° and 90.00°. The asymmetric unit holds Ca at (0.000, 0.000, 0.000), In at (0.500, 0.500, 0.500), Sn at (0.000, 0.500, 0.500) and Cl at (0.500, 0.500, 0.000).

---

# 5
Computed, not measured: a relaxed structure of SrCaIn2Cl at the GGA-PBE level of DFT.

The structure belongs to space group P4/mmm (No. 123); the cell edges are 6.203, 6.203 and 5.065 Å and the angles 90.00°, 90.00° and 90.00°. The asymmetric unit holds Sr at (0.000, 0.000, 0.000), Ca at (0.500, 0.500, 0.500), In at (0.000, 0.500, 0.500) and Cl at (0.500, 0.500, 0.000).

---

# 6
Computed, not measured: a relaxed structure of Sr2CaInCl at the GGA-PBE level of DFT.

The structure belongs to space group P4/mmm (No. 123); the cell edges are 5.679, 5.679 and 5.408 Å and the angles 90.00°, 90.00° and 90.00°. The asymmetric unit holds Sr at (0.000, 0.500, 0.000), Ca at (0.000, 0.000, 0.500), In at (0.500, 0.500, 0.500) and Cl at (0.000, 0.000, 0.000).

---

# 7
Computed, not measured: a relaxed structure of CaTbInCl6 at the GGA-PBE level of DFT.

The structure belongs to space group P-31c (No. 163); the cell edges are 7.1287, 7.1287 and 13.6903 Å and the angles 90.00°, 90.00° and 120.00°. The asymmetric unit holds Ca at (0.3333, 0.6667, 0.2500), Tb at (0.3333, 0.6667, 0.7500), In at (0.0000, 0.0000, 0.0000) and Cl at (0.0093, 0.3753, 0.6395).

---

# 8
Computed, not measured: a relaxed structure of CaInTcCl2 at the GGA-PBE level of DFT.

The structure belongs to space group P4/mmm (No. 123); the cell edges are 4.872, 4.872 and 5.498 Å and the angles 90.00°, 90.00° and 90.00°. The asymmetric unit holds Ca at (0.000, 0.000, 0.000), In at (0.500, 0.500, 0.000), Tc at (0.500, 0.500, 0.500) and Cl at (0.000, 0.500, 0.500).

---

# 9
Computed, not measured: a relaxed structure of CaIn2TcCl at the GGA-PBE level of DFT.

The structure belongs to space group P4/mmm (No. 123); the cell edges are 5.183, 5.183 and 5.539 Å and the angles 90.00°, 90.00° and 90.00°. The asymmetric unit holds Ca at (0.000, 0.000, 0.000), In at (0.000, 0.500, 0.500), Tc at (0.000, 0.000, 0.500) and Cl at (0.500, 0.500, 0.000).

---

# 10
Computed, not measured: a relaxed structure of CaInTeCl2 at the GGA-PBE level of DFT.

The structure belongs to space group P4/mmm (No. 123); the cell edges are 4.960, 4.960 and 11.708 Å and the angles 90.00°, 90.00° and 90.00°. The asymmetric unit holds Ca at (0.000, 0.000, 0.000), In at (0.000, 0.000, 0.500), Te at (0.500, 0.500, 0.000) and Cl at (0.000, 0.500, 0.500).

---

# 11
Computed, not measured: a relaxed structure of CaTiInCl6 at the GGA-PBE level of DFT.

The structure belongs to space group P-31c (No. 163); the cell edges are 6.8346, 6.8346 and 13.6178 Å and the angles 90.00°, 90.00° and 120.00°. The asymmetric unit holds Ca at (0.3333, 0.6667, 0.2500), Ti at (0.3333, 0.6667, 0.7500), In at (0.0000, 0.0000, 0.0000) and Cl at (0.0336, 0.3853, 0.6451).

---

# 12
Computed, not measured: a relaxed structure of CaTl2InCl5 at the GGA-PBE level of DFT.

The structure belongs to space group Cmc2_1 (No. 36); the cell edges are 4.203, 17.932 and 16.817 Å and the angles 90.00°, 90.00° and 90.00°. The asymmetric unit holds Ca at (0.000, 0.239, 0.000), Tl at (0.000, 0.338, 0.226), Tl at (0.000, 0.451, 0.627), In at (0.000, 0.058, 0.406), Cl at (0.000, 0.040, 0.739), Cl at (0.000, 0.087, 0.993), Cl at (0.000, 0.243, 0.394), Cl at (0.000, 0.270, 0.611) and Cl at (0.000, 0.392, 0.026).

---

# 13
Computed, not measured: a relaxed structure of CaTmInCl6 at the GGA-PBE level of DFT.

The structure belongs to space group P-31c (No. 163); the cell edges are 7.0626, 7.0626 and 13.7286 Å and the angles 90.00°, 90.00° and 120.00°. The asymmetric unit holds Ca at (0.3333, 0.6667, 0.2500), Tm at (0.3333, 0.6667, 0.7500), In at (0.0000, 0.0000, 0.0000) and Cl at (0.0147, 0.3784, 0.6410).

---

# 14
Computed, not measured: a relaxed structure of CaVInCl6 at the GGA-PBE level of DFT.

The structure belongs to space group P312 (No. 149); the cell edges are 6.7733, 6.7733 and 6.7647 Å and the angles 90.00°, 90.00° and 120.00°. The asymmetric unit holds Ca at (0.0000, 0.0000, 0.0000), V at (0.3333, 0.6667, 0.0000), In at (0.6667, 0.3333, 0.5000) and Cl at (0.0536, 0.3707, 0.2087).

---

# 15
Computed, not measured: a relaxed structure of CaZnInCl5 at the GGA-PBE level of DFT.

The structure belongs to space group C2/c (No. 15); the cell edges are 9.074, 11.968 and 9.867 Å and the angles 90.00°, 114.12° and 90.00°. The asymmetric unit holds Ca at (0.000, 0.000, 0.000), Zn at (0.000, 0.317, 0.250), In at (0.000, 0.338, 0.750), Cl at (0.000, 0.086, 0.750), Cl at (0.115, 0.210, 0.125) and Cl at (0.182, 0.430, 0.428).

---

# 16
Computed, not measured: a relaxed structure of Ca2IrCl at the GGA-PBE level of DFT.

The offset from the most stable computed form comes out at 0.289 eV per atom.

The structure belongs to space group Fm-3m (No. 225); the cell edges are 7.047, 7.047 and 7.047 Å and the angles 90.00°, 90.00° and 90.00°. The asymmetric unit holds Ca at (0.250, 0.250, 0.250), Ir at (0.000, 0.000, 0.000) and Cl at (0.000, 0.000, 0.500).

---

# 17
Computed, not measured: a relaxed structure of CaIrCl2 at the GGA-PBE level of DFT.

The offset from the most stable computed form comes out at 0.343 eV per atom.

The structure belongs to space group P4mm (No. 99); the cell edges are 3.803, 3.803 and 5.973 Å and the angles 90.00°, 90.00° and 90.00°. The asymmetric unit holds Ca at (0.000, 0.000, 0.000), Ir at (0.500, 0.500, 0.757), Cl at (0.000, 0.000, 0.529) and Cl at (0.500, 0.500, 0.146).

---

# 18
Computed, not measured: a relaxed structure of Ca2IrCl at the GGA-PBE level of DFT.

The offset from the most stable computed form comes out at 0.085 eV per atom.

The structure belongs to space group C2/m (No. 12); the cell edges are 7.157, 4.011 and 7.443 Å and the angles 90.00°, 108.52° and 90.00°. The asymmetric unit holds Ca at (0.245, 0.000, 0.217), Ir at (0.000, 0.500, 0.000) and Cl at (0.000, 0.000, 0.500).

---

# 19
Computed, not measured: a relaxed structure of Ca2IrCl at the GGA-PBE level of DFT.

The offset from the most stable computed form comes out at 0.125 eV per atom.

The structure belongs to space group Imm2 (No. 44); the cell edges are 3.456, 3.762 and 15.051 Å and the angles 90.00°, 90.00° and 90.00°. The asymmetric unit holds Ca at (0.000, 0.000, 0.000), Ca at (0.000, 0.500, 0.279), Ir at (0.000, 0.000, 0.411) and Cl at (0.000, 0.500, 0.667).

---

# 20
Computed, not measured: a relaxed structure of CaIr4Cl at the GGA-PBE level of DFT.

The structure belongs to space group F-43m (No. 216); the cell edges are 7.592, 7.592 and 7.592 Å and the angles 90.00°, 90.00° and 90.00°. The asymmetric unit holds Ca at (0.000, 0.000, 0.000), Ir at (0.125, 0.125, 0.375) and Cl at (0.250, 0.250, 0.750).

---

no.,E_form (uncorrected) (eV per atom),total magnetic moment (μB per atom)
1,-1.6166,0.000
2,-1.5754,0.000
3,-1.9973,0.000
4,-0.0341,0.167
5,-0.4048,0.000
6,-0.7048,0.000
7,-2.0175,0.000
8,-0.1812,0.336
9,-0.0279,0.106
10,-0.6958,0.000
11,-1.6786,0.111
12,-1.4156,0.000
13,-2.0191,0.000
14,-1.5183,0.222
15,-1.5348,0.000
16,-0.7112,0.000
17,-0.4323,0.255
18,-0.9151,0.000
19,-0.8755,0.000
20,0.3762,0.733